1.
Computed, not measured: DyTmPuSc after structural relaxation at the PBE-GGA level of DFT.

Unit cell a=5.4301 b=5.4301 c=5.4301 alpha=60.00 beta=60.00 gamma=60.00
Sites, in units of the cell vectors:
Dy  0.0000  0.0000  0.0000
Tm  0.2500  0.2500  0.2500
Pu  0.5000  0.5000  0.5000
Sc  0.7500  0.7500  0.7500

Calculated values
density: 9.1 g cm⁻³
final energy: -7.2667 eV/atom
magnetization: 6.02 μB/f.u.
DOS at the Fermi energy: 2.15 states/eV per atom



2.
Computed, not measured: Ce6P2CBr3 after structural relaxation at the PBE-GGA level of DFT.

Unit cell a=6.9291 b=6.9291 c=7.5900 alpha=98.74 beta=98.74 gamma=119.97
Sites, in units of the cell vectors:
Ce  0.0663  0.3751  0.2000
Ce  0.2406  0.2406  0.7956
Ce  0.3751  0.0663  0.2000
Ce  0.6249  0.9337  0.8000
Ce  0.7594  0.7594  0.2044
Ce  0.9337  0.6249  0.8000
P  0.3343  0.6657  0.0000
P  0.6657  0.3343  0.0000
C  0.0000  0.0000  0.0000
Br  0.1752  0.8248  0.5000
Br  0.5000  0.5000  0.5000
Br  0.8248  0.1752  0.5000

Calculated values
density: 6.4 g cm⁻³
final energy: -6.2554 eV/atom
magnetization: 5.37 μB/f.u.
DOS at the Fermi energy: 2.59 states/eV per atom
formation energy from raw total energies: -1.200 eV/atom



3.
Computed, not measured: NaNbPd3 after structural relaxation at the PBE-GGA level of DFT.

Unit cell a=4.9152 b=4.9152 c=4.9152 alpha=90.00 beta=90.00 gamma=90.00
Sites, in units of the cell vectors:
Na  0.0000  0.0000  0.0000
Nb  0.5000  0.5000  0.5000
Pd  0.0000  0.5000  0.5000
Pd  0.5000  0.0000  0.5000
Pd  0.5000  0.5000  0.0000

Calculated values
density: 6.1 g cm⁻³
final energy: -4.8245 eV/atom
magnetization: 0.00 μB/f.u.
DOS at the Fermi energy: 0.95 states/eV per atom